No. 1
First-principles (PBE-GGA) data for an optimized crystal structure of Sr4Hg2Bi5, as listed in Alexandria via LeMat-Bulk.

Computed properties:
The calculation puts the calculated formation energy at -549 meV/atom. The value obtained for the calculated density is 8.08 g/cm3. The symmetry is P2/m, No. 10.

Cell lengths 3.9045, 8.8147, 10.7411 Å; angles 92.43, 90.00, 90.00 degrees
With the nearest neighbours (Å) after each atom.
Element x y z (fractional)
Sr 0.5000 0.7299 0.5753  4 Hg 3.47-3.57, 6 Bi 3.50-3.66
Sr 0.5000 0.1817 0.8841  2 Hg 3.51, 8 Bi 3.58-3.69, 2 Sr 3.90
Sr 0.5000 0.2701 0.4247  4 Hg 3.47-3.57, 6 Bi 3.50-3.66
Sr 0.5000 0.8183 0.1159  2 Hg 3.51, 8 Bi 3.58-3.69, 2 Sr 3.90
Hg 0.0000 0.0657 0.6255  1 Hg 2.89, 2 Bi 3.14-3.17
Hg 0.0000 0.9343 0.3745  1 Hg 2.89, 2 Bi 3.14-3.17
Bi 0.0000 0.5801 0.3090  1 Hg 3.17, 1 Bi 3.36
Bi 0.0000 0.1707 0.1633  1 Hg 3.14, 1 Bi 3.45, 2 Sr 3.50
Bi 0.0000 0.5000 0.0000  4 Bi 3.36-3.45, 4 Sr 3.60
Bi 0.0000 0.8293 0.8367  1 Hg 3.14, 1 Bi 3.45, 2 Sr 3.50
Bi 0.0000 0.4199 0.6910  1 Hg 3.17, 1 Bi 3.36

---

No. 2
First-principles (PBE-GGA) data for an optimized crystal structure of Sr2HgBi3, as listed in Alexandria via LeMat-Bulk.

Computed properties:
The calculation puts the calculated formation energy at -497 meV/atom. The value obtained for the calculated density is 7.75 g/cm3. The symmetry is Pmm2, No. 25.

Cell lengths 5.3241, 4.3087, 9.3620 Å; angles 90.00, 90.00, 90.00 degrees
With the nearest neighbours (Å) after each atom.
Element x y z (fractional)
Sr 0.5000 0.0000 0.0097  10 Bi 3.70-3.83, 2 Hg 3.85
Sr 0.0000 0.0000 0.4923  8 Bi 3.70-3.80, 4 Hg 3.81
Hg 0.5000 0.5000 0.6695  3 Bi 3.04-3.07
Bi 0.0000 0.5000 0.1599  3 Bi 3.11-3.16
Bi 0.0000 0.5000 0.8273  2 Hg 3.04, 1 Bi 3.11
Bi 0.5000 0.5000 0.3414  1 Hg 3.07, 2 Bi 3.16

---

No. 3
First-principles (PBE-GGA) data for an optimized crystal structure of SrHg2Bi, as listed in Alexandria via LeMat-Bulk.

Computed properties:
The calculation puts the calculated formation energy at -363 meV/atom. The value obtained for the calculated density is 9.67 g/cm3. The symmetry is P4/mmm, No. 123.

Cell lengths 4.0416, 4.0416, 7.3363 Å; angles 90.00, 90.00, 90.00 degrees
With the nearest neighbours (Å) after each atom.
Element x y z (fractional)
Sr 0.5000 0.5000 0.5000  8 Hg 3.44, 2 Bi 3.67
Bi 0.5000 0.5000 0.0000  8 Hg 3.35, 2 Sr 3.67
Hg 0.0000 0.0000 0.7610  4 Bi 3.35, 4 Sr 3.44, 1 Hg 3.51
Hg 0.0000 0.0000 0.2390  4 Bi 3.35, 4 Sr 3.44, 1 Hg 3.51

---

Question: Which value of calculated density does entry 1 give?
Answer: 8.08 g/cm3